Entry 1:
DFT (PBE) results for a relaxed structure of Nd2Dy5Ni2.

Properties
Energy relative to the elements ... -143 meV per atom
Volume ... 27.58 Å³/atom
Energy ... -0.3707 Ry per atom

Unit cell a=7.0212 b=7.0001 c=10.6919 alpha=90.00 beta=70.83 gamma=90.00
Fractional positions:
Nd (0.2307, 0.0000, 0.5386)
Nd (0.7307, 0.5000, 0.5386)
Nd (0.7693, 0.0000, 0.4614)
Nd (0.2693, 0.5000, 0.4614)
Dy (0.0000, 0.0000, 0.0000)
Dy (0.5000, 0.5000, 0.0000)
Dy (0.4301, 0.1729, 0.7873)
Dy (0.7826, 0.8271, 0.7873)
Dy (0.2826, 0.6729, 0.7873)
Dy (0.9301, 0.3271, 0.7873)
Dy (0.5699, 0.8271, 0.2127)
Dy (0.2174, 0.1729, 0.2127)
Dy (0.7174, 0.3271, 0.2127)
Dy (0.0699, 0.6729, 0.2127)
Ni (0.1216, 0.3788, 0.0000)
Ni (0.8784, 0.6212, 0.0000)
Ni (0.3784, 0.8788, 0.0000)
Ni (0.6216, 0.1212, 0.0000)

Entry 2:
DFT (PBE) results for a relaxed structure of NdDy5Ni2.

Properties
Energy relative to the elements ... -142 meV per atom
Volume ... 27.20 Å³/atom
Energy ... -0.3719 Ry per atom

Unit cell a=3.6483 b=6.7581 c=18.3312 alpha=90.00 beta=90.00 gamma=105.66
Fractional positions:
Nd (0.6785, 0.3569, 0.7500)
Nd (0.3215, 0.6431, 0.2500)
Dy (0.9367, 0.8734, 0.9086)
Dy (0.9367, 0.8734, 0.5914)
Dy (0.3306, 0.6612, 0.4438)
Dy (0.3306, 0.6612, 0.0562)
Dy (0.5935, 0.1870, 0.2500)
Dy (0.4065, 0.8130, 0.7500)
Dy (0.6694, 0.3388, 0.5562)
Dy (0.6694, 0.3388, 0.9438)
Dy (0.0633, 0.1266, 0.0914)
Dy (0.0633, 0.1266, 0.4086)
Ni (0.7184, 0.4369, 0.3667)
Ni (0.7184, 0.4369, 0.1333)
Ni (0.2816, 0.5631, 0.6333)
Ni (0.2816, 0.5631, 0.8667)

Entry 3:
DFT (PBE) results for a relaxed structure of NdDyNi.

Properties
Energy relative to the elements ... -119 meV per atom
Volume ... 28.02 Å³/atom
Energy ... -0.3799 Ry per atom

Unit cell a=3.9166 b=3.9166 c=6.3279 alpha=90.00 beta=90.00 gamma=120.00
Fractional positions:
Ni (0.6667, 0.3333, 0.3410)
Nd (0.0000, 0.0000, 0.0827)
Dy (0.3333, 0.6667, 0.5764)

Entry 4:
DFT (PBE) results for a relaxed structure of NdDyNi.

Properties
Energy relative to the elements ... -184 meV per atom
Volume ... 25.21 Å³/atom
Energy ... -0.3847 Ry per atom

Unit cell a=3.4613 b=3.4613 c=6.7706 alpha=104.81 beta=104.81 gamma=90.00
Fractional positions:
Ni (0.6750, 0.6750, 0.3499)
Nd (0.0315, 0.0315, 0.0629)
Dy (0.2936, 0.2936, 0.5871)

Entry 5:
DFT (PBE) results for a relaxed structure of Nd2DyNi9.

Properties
Energy relative to the elements ... -337 meV per atom
Volume ... 14.91 Å³/atom
Energy ... -0.4301 Ry per atom

Unit cell a=4.9974 b=4.9974 c=8.7617 alpha=73.43 beta=73.43 gamma=60.00
Site moments in Bohr magnetons follow the coordinates.
Fractional positions:
Nd (0.8620, 0.8620, 0.4138)  -0.02
Nd (0.1380, 0.1380, 0.5862)  -0.02
Dy (0.0000, 0.0000, 0.0000)  -0.04
Ni (0.6672, 0.6672, 0.9985)  0.19
Ni (0.3328, 0.3328, 0.0015)  0.19
Ni (0.5000, 0.5000, 0.5000)  0.05
Ni (0.4206, 0.4206, 0.2394)  0.13
Ni (0.9194, 0.4206, 0.2394)  0.13
Ni (0.4206, 0.9194, 0.2394)  0.13
Ni (0.5794, 0.5794, 0.7606)  0.13
Ni (0.5794, 0.0806, 0.7606)  0.13
Ni (0.0806, 0.5794, 0.7606)  0.13

Entry 6:
DFT (PBE) results for a relaxed structure of Nd2DyNi6.

Properties
Energy relative to the elements ... -337 meV per atom
Volume ... 18.18 Å³/atom
Energy ... -0.4235 Ry per atom

Unit cell a=3.9262 b=6.9379 c=6.9379 alpha=120.00 beta=90.00 gamma=90.00
Site moments in Bohr magnetons follow the coordinates.
Fractional positions:
Nd (0.0000, 0.3333, 0.6667)  -0.01
Nd (0.0000, 0.6667, 0.3333)  -0.01
Dy (0.0000, 0.0000, 0.0000)  -0.01
Ni (0.5000, 0.3313, 0.3313)  0.13
Ni (0.5000, 0.6687, 0.6687)  0.13
Ni (0.5000, 0.0000, 0.6687)  0.13
Ni (0.5000, 0.6687, 0.0000)  0.13
Ni (0.5000, 0.3313, 0.0000)  0.13
Ni (0.5000, 0.0000, 0.3313)  0.13

Number 1: theoretical density 8.15 g/cm3. Number 2: theoretical density 8.20 g/cm3. Number 3: theoretical density 7.22 g/cm3. Number 4: theoretical density 8.02 g/cm3. Number 5: theoretical density 9.09 g/cm3. Number 6: theoretical density 8.15 g/cm3.